# 1
Entry from Alexandria: a geometry-optimized SnPd7Pb2 structure (PBE).

Lattice parameters (Å, degrees): 7.8797 16.7064 3.1257 90.00 90.00 90.00
Space group Cmmm (No. 65)
Asymmetric unit:
Sn  0.0000  0.0000  0.0000 x2
Pd  0.0000  0.1924  0.0000 x4
Pd  0.0000  0.5000  0.5000 x2
Pd  0.2000  0.0899  0.5000 x8
Pb  0.0000  0.3276  0.5000 x4

Values from the calculation:
VASP energy ... -4.80 eV/atom
Spin magnetization ... 0.00 μB/f.u.
Calculated volume ... 411.5 Å³/cell



# 2
Entry from Alexandria: a geometry-optimized HoMgSc2Pd4 structure (PBE).

Lattice parameters (Å, degrees): 4.7048 4.7048 23.1828 90.00 90.00 120.00
Space group R-3m (No. 166, hexagonal axes)
Asymmetric unit:
Ho  0.0000  0.0000  0.0000 x3
Mg  0.0000  0.0000  0.5000 x3
Sc  0.0000  0.0000  0.2451 x6
Pd  0.0000  0.0000  0.1250 x6
Pd  0.0000  0.0000  0.3776 x6

Values from the calculation:
VASP energy ... -5.80 eV/atom
Spin magnetization ... 0.00 μB/f.u.
Calculated volume ... 444.4 Å³/cell



# 3
Entry from Alexandria: a geometry-optimized TaCr4Se structure (PBE).

Lattice parameters (Å, degrees): 6.8973 6.8973 6.8973 90.00 90.00 90.00
Space group F-43m (No. 216)
Asymmetric unit:
Ta  0.0000  0.0000  0.0000 x4
Cr  0.1248  0.1248  0.6248 x16
Se  0.2500  0.2500  0.2500 x4

Values from the calculation:
Uncorrected formation energy ... 27 kJ/mol of atoms
Spin magnetization ... 0.00 μB/f.u.
Calculated volume ... 328.1 Å³/cell



# 4
Entry from Alexandria: a geometry-optimized GdSnGe4 structure (PBE).

Lattice parameters (Å, degrees): 7.9989 7.9989 7.9989 90.00 90.00 90.00
Space group F-43m (No. 216)
Asymmetric unit:
Gd  0.0000  0.0000  0.0000 x4
Sn  0.2500  0.2500  0.7500 x4
Ge  0.1245  0.1245  0.3755 x16

Values from the calculation:
VASP energy ... -6.24 eV/atom
Spin magnetization ... 7.04 μB/f.u.
Calculated volume ... 511.8 Å³/cell



Which formula does entry 1 have?
SnPd7Pb2